CaPrErAg: optimized geometry, GGA-PBE.

Summary:
- Energy of formation: -137.1 meV/atom
- Symmetry: P4mm, No. 99

Cell: 3.609 3.609 9.357 Å, 90.00 90.00 90.00°
Atoms (fractional coordinates):
Ca  0.000  0.000  0.000
Pr  0.500  0.500  0.327
Er  0.000  0.000  0.600
Ag  0.500  0.500  0.784